Below is a geometry-optimized CsVIrO6 structure, with properties calculated at the GGA+U level.

V ... 158.4 Å³/cell
Total DFT energy (no corrections) ... -0.4765 Ry per atom
M_tot ... 1.63 μB/f.u.
Space-group type ... P312 (149)

Unit cell a=5.211 b=5.211 c=6.735 alpha=90.00 beta=90.00 gamma=120.00
Sites, in units of the cell vectors:
Cs: 0.000 0.000 0.000
V: 0.333 0.667 0.500
Ir: 0.667 0.333 0.500
O: 0.005 0.398 0.659
O: 0.005 0.607 0.341
O: 0.393 0.398 0.341
O: 0.393 0.995 0.659
O: 0.602 0.607 0.659
O: 0.602 0.995 0.341